The following is a GGA-PBE calculation of an optimized crystal structure of KTlAg2Br5, from the Alexandria database.

Uncorrected energy in eV per cell: -24.041
Magnetization in μB/f.u.: 0.0
Formation energy (no corrections) in eV per atom: -0.723
ρ in g/cm³: 4.67
SG: P4/mmm

```
KTlAg2Br5
1.0
5.2989 0.0000 0.0000
0.0000 5.2989 0.0000
0.0000 0.0000 10.8820
K Tl Ag Br
1 1 2 5
Cartesian
0.0000 0.0000 5.4410
0.0000 0.0000 0.0000
2.6495 2.6495 2.6127
2.6495 2.6495 8.2693
0.0000 2.6495 2.2249
2.6495 0.0000 2.2249
0.0000 2.6495 8.6571
2.6495 0.0000 8.6571
2.6495 2.6495 5.4410
```

***

The following is a GGA-PBE calculation of an optimized crystal structure of K4Tl3AgBr8, from the Alexandria database.

Uncorrected energy in eV per cell: -47.129
Magnetization in μB/f.u.: 0.0
Formation energy (no corrections) in eV per atom: -1.213
ρ in g/cm³: 4.31
SG: C2/m

```
K4Tl3AgBr8
1.0
9.3929 0.0000 0.0000
0.0000 9.2596 -0.0592
-4.6964 -4.6650 6.7533
K Tl Ag Br
4 3 1 8
Cartesian
4.6964 0.0000 0.0000
2.3482 -2.3325 3.3766
0.0000 0.0000 0.0000
-2.3482 -2.3325 3.3766
4.6964 4.6298 -0.0296
2.3482 2.2973 3.3471
-2.3482 2.2973 3.3471
0.0000 4.6298 -0.0296
2.0529 6.6827 -0.0199
0.0000 4.6589 3.4869
0.0000 -0.0657 3.3294
7.3400 6.6827 -0.0199
-2.6435 -2.0881 6.7141
4.6964 4.6603 3.3647
4.6964 -0.0643 3.2072
2.6435 -2.0881 6.7141
```

***

The following is a GGA-PBE calculation of an optimized crystal structure of KTlAgBr6, from the Alexandria database.

Uncorrected energy in eV per cell: -22.212
Magnetization in μB/f.u.: 0.9
Formation energy (no corrections) in eV per atom: -0.651
ρ in g/cm³: 4.20
SG: P1

```
KTlAgBr6
1.0
7.7066 -0.0086 0.3857
3.8550 5.9296 0.1990
0.4087 -0.0105 7.2026
K Tl Ag Br
1 1 1 6
Cartesian
3.8550 5.7784 0.2019
7.9121 3.7893 3.9897
4.0555 1.9893 3.7980
9.2022 2.1974 2.2531
3.2572 0.0591 5.4179
6.6279 2.1864 5.7179
10.3846 3.7811 5.5400
5.4382 3.7882 2.4441
4.8534 0.0641 2.1716
```

***

The following is a GGA-PBE calculation of an optimized crystal structure of K3TlAg2Br6, from the Alexandria database.

Uncorrected energy in eV per cell: -34.411
Magnetization in μB/f.u.: 0.0
Formation energy (no corrections) in eV per atom: -1.084
ρ in g/cm³: 4.10
SG: C2/m

```
K3TlAg2Br6
1.0
-3.6326 -1.9368 -1.5621
5.0548 -6.7271 -3.4141
-0.3464 -2.7219 10.3860
K Tl Ag Br
3 1 2 6
Cartesian
0.7111 -4.3320 -2.4881
-2.3739 -4.5430 4.9478
3.4498 -6.8429 0.4621
-1.8163 -0.9684 -0.7810
0.1986 -7.6991 2.8788
0.8773 -3.6867 2.5311
3.0115 -8.3373 3.3342
0.2095 -5.9329 0.6636
-1.9357 -3.0485 2.0758
-2.6557 -6.1955 7.6521
3.7315 -5.1904 -2.2421
0.8664 -5.4529 4.7463
```

***

The following is a GGA-PBE calculation of an optimized crystal structure of K4TlAg3Br12, from the Alexandria database.

Uncorrected energy in eV per cell: -52.906
Magnetization in μB/f.u.: 0.0
Formation energy (no corrections) in eV per atom: -0.876
ρ in g/cm³: 4.11
SG: Im-3m

```
K4TlAg3Br12
1.0
-6.3504 -2.5502 -6.6191
-0.3836 -6.1137 7.2883
-2.0047 8.7730 3.1080
K Tl Ag Br
4 1 3 12
Cartesian
-4.3693 0.0545 1.8886
-1.0023 4.3865 1.5540
-3.1752 -1.2751 -3.3095
-0.1918 -3.0569 3.6441
0.0000 0.0000 0.0000
-4.1776 3.1114 -1.7555
-3.3670 -4.3320 0.3346
-1.1941 1.3296 5.1981
-3.2829 2.8853 4.3204
-6.2501 4.6550 -2.6265
-2.1050 1.5678 -0.8846
-5.4558 -2.7763 -0.5432
-5.0374 -6.4811 0.5006
-1.6966 -2.1828 0.1686
-5.8611 0.9454 -1.5882
-2.8776 -0.8364 5.3654
-4.7746 3.7762 0.8435
-1.7866 1.9893 7.7770
-3.9641 -3.6672 2.9337
-0.6017 0.6700 2.6193
```

***

The following is a GGA-PBE calculation of an optimized crystal structure of K3Tl2AgBr6, from the Alexandria database.

Uncorrected energy in eV per cell: -35.198
Magnetization in μB/f.u.: 0.0
Formation energy (no corrections) in eV per atom: -1.190
ρ in g/cm³: 4.27
SG: C2/m

```
K3Tl2AgBr6
1.0
8.1772 -0.0248 0.0252
-4.1081 7.0705 0.0252
-1.3344 -2.3105 7.4790
K Tl Ag Br
3 2 1 6
Cartesian
-2.7142 4.7248 3.7647
5.4489 0.0104 3.7647
1.3674 2.3676 3.7647
-0.0694 4.7380 0.0252
4.1386 2.3077 0.0252
0.0000 0.0000 0.0000
4.0392 2.4240 5.6138
2.9525 5.1123 1.6146
-1.3045 2.3112 1.9156
0.0810 4.7100 5.6138
-0.2178 -0.3771 5.9148
2.6537 0.0251 1.9156
```

***

The following is a GGA-PBE calculation of an optimized crystal structure of KTm2AgBr8, from the Alexandria database.

Uncorrected energy in eV per cell: -44.879
Magnetization in μB/f.u.: 0.0
Formation energy (no corrections) in eV per atom: -1.550
ρ in g/cm³: 4.41
SG: P2/m

```
KTm2AgBr8
1.0
-0.6769 0.3365 7.1540
1.6024 -6.6853 1.3360
8.1665 2.0947 0.6739
K Tm Ag Br
1 2 1 8
Cartesian
4.0832 1.0473 0.3370
6.6481 -1.5883 4.7556
2.4439 -2.6658 4.4082
0.0000 0.0000 0.0000
2.9076 -4.3727 2.3233
0.7300 -4.6126 5.4860
1.7087 -1.0273 6.4702
6.1844 0.1186 6.8405
8.3620 0.3585 3.6779
7.3833 -3.2267 2.6937
4.7982 -3.4938 5.7718
4.2938 -0.7603 3.3921
```

***

The following is a GGA-PBE calculation of an optimized crystal structure of K3TmAg2Br9, from the Alexandria database.

Uncorrected energy in eV per cell: -47.338
Magnetization in μB/f.u.: 0.0
Formation energy (no corrections) in eV per atom: -1.254
ρ in g/cm³: 3.97
SG: P-3m1

```
K3TmAg2Br9
1.0
-1.5868 -3.7564 -6.6443
-4.7321 -0.7822 6.1458
-5.2137 7.5936 -3.0480
K Tm Ag Br
3 1 2 9
Cartesian
-7.3945 3.6312 -0.2869
0.0000 0.0000 0.0000
-4.1381 -0.5761 -3.2595
-2.6068 3.7968 -1.5240
-4.5112 -0.5683 1.3987
-7.0214 3.6234 -4.9452
-5.5771 1.7904 -6.5638
-7.9673 1.3953 -3.4596
-4.7757 3.6877 -3.2078
-6.7569 -0.6327 -0.3387
-3.5653 1.6597 -0.0869
-5.9554 1.2647 3.0173
-0.7934 -1.8782 -3.3222
-2.3661 -0.3911 3.0729
-3.1595 -2.2693 -0.2493
```

***

The following is a GGA-PBE calculation of an optimized crystal structure of KTmAg2Br6, from the Alexandria database.

Uncorrected energy in eV per cell: -33.412
Magnetization in μB/f.u.: 0.0
Formation energy (no corrections) in eV per atom: -1.210
ρ in g/cm³: 4.67
SG: P1

```
KTmAg2Br6
1.0
-5.9981 4.3145 -0.2683
-3.3009 2.1419 6.2557
0.8511 7.6633 2.1945
K Tm Ag Br
1 1 2 6
Cartesian
-7.0592 9.5774 6.0993
-3.0350 2.2427 1.9981
-4.4234 6.7837 4.0812
-5.9972 4.3145 -0.2658
-4.1047 4.8308 1.9685
-4.4219 4.9034 6.2767
-7.2939 7.0533 3.8669
-3.9128 8.9339 6.1383
-4.2334 9.2951 2.4193
-1.4476 7.2466 3.8712
```

***

The following is a GGA-PBE calculation of an optimized crystal structure of K2TmAgBr6, from the Alexandria database.

Uncorrected energy in eV per cell: -69.604
Magnetization in μB/f.u.: 0.0
Formation energy (no corrections) in eV per atom: -1.525
ρ in g/cm³: 4.20
SG: P2_1/c

```
K2TmAgBr6
1.0
7.6412 0.0000 0.0050
0.0000 8.0240 0.0000
0.0754 0.0000 10.7648
K Tm Ag Br
4 2 2 12
Cartesian
0.2100 7.4055 2.7034
4.0683 4.6306 8.0883
7.5065 0.6185 8.0663
3.6483 3.3935 2.6814
3.8583 0.0000 5.3849
0.0000 4.0120 0.0000
3.8206 0.0000 0.0025
0.0377 4.0120 5.3824
2.2589 5.5313 0.5337
6.1171 6.5047 5.9185
5.4577 2.4927 10.2361
1.5994 1.5193 4.8512
2.4374 5.6911 4.8589
6.2956 6.3450 10.2438
5.2792 2.3329 5.9109
1.4209 1.6791 0.5260
6.8949 4.1912 2.6763
3.1120 7.8448 8.0562
0.8217 3.8328 8.0934
4.6046 0.1792 2.7135
```

***

The following is a GGA-PBE calculation of an optimized crystal structure of K3UAg2Br9, from the Alexandria database.

Uncorrected energy in eV per cell: -53.165
Magnetization in μB/f.u.: 2.0
Formation energy (no corrections) in eV per atom: -1.188
ρ in g/cm³: 3.90
SG: P-3m1

```
K3UAg2Br9
1.0
-2.4028 6.3618 -4.1456
4.5533 -5.5320 -3.4780
-8.1939 -4.9521 -2.8503
K U Ag Br
3 1 2 9
Cartesian
-3.9763 -5.3211 -5.8610
0.0000 0.0000 0.0000
-2.0671 1.1987 -4.6129
-4.0969 -2.4761 -1.4252
0.9771 -2.3274 -4.1380
-7.0205 -1.7949 -6.3359
-6.7077 1.1317 -5.9292
-4.3848 -1.6906 -7.7036
-5.4819 -2.1140 -3.8142
-0.5615 -2.0084 -6.6597
-1.6586 -2.4317 -2.7703
0.6643 -5.2540 -4.5447
-1.2014 3.1809 -2.0728
2.2766 -2.7660 -1.7390
1.0752 0.4149 -3.8118
```

***

The following is a GGA-PBE calculation of an optimized crystal structure of KVAg2Br6, from the Alexandria database.

Uncorrected energy in eV per cell: -33.759
Magnetization in μB/f.u.: 2.0
Formation energy (no corrections) in eV per atom: -0.780
ρ in g/cm³: 4.38
SG: R3

```
KVAg2Br6
1.0
-1.8263 -4.9659 4.9340
-0.0274 -7.0164 -1.7663
5.6713 -4.4812 2.8948
K V Ag Br
1 1 2 6
Cartesian
1.7044 -12.2580 4.2079
-0.5508 -3.9992 1.0755
1.4202 -8.1934 2.8881
-1.8487 -11.9837 3.1690
0.2910 -5.5994 2.9388
0.8072 -9.0347 0.2571
-0.4546 -9.6649 4.4114
3.7156 -10.2405 2.7712
3.0935 -8.0827 5.4677
4.0985 -6.7754 2.3708
```

***

The following is a GGA-PBE calculation of an optimized crystal structure of KVAgBr6, from the Alexandria database.

Uncorrected energy in eV per cell: -30.783
Magnetization in μB/f.u.: 0.9
Formation energy (no corrections) in eV per atom: -0.853
ρ in g/cm³: 3.67
SG: P312

```
KVAgBr6
1.0
-2.4736 5.8110 -3.2461
-6.9990 1.1129 -0.4458
0.1660 3.4750 6.0910
K V Ag Br
1 1 1 6
Cartesian
0.1654 3.4752 6.0909
-3.0748 4.0454 1.8148
-6.2317 6.3530 0.5844
-2.5079 1.6226 1.5071
-1.0110 4.5455 3.1478
-3.8596 6.3999 2.1678
-4.2503 3.3504 3.9172
-5.0988 3.7442 0.3669
-1.7190 4.6088 -0.2174
```

***

The following is a GGA-PBE calculation of an optimized crystal structure of K2YAg2Br6, from the Alexandria database.

Uncorrected energy in eV per cell: -37.880
Magnetization in μB/f.u.: 0.9
Formation energy (no corrections) in eV per atom: -1.226
ρ in g/cm³: 3.54
SG: C2/m

```
K2YAg2Br6
1.0
-4.4363 6.5567 -2.7875
-1.0388 -7.1770 -2.5931
-3.0839 1.2207 7.7794
K Y Ag Br
2 1 2 6
Cartesian
-4.0883 1.7341 -2.0498
-4.4707 -1.1336 4.4486
-3.7601 3.8887 2.4959
-7.6252 0.8210 1.4315
-0.9337 -0.2205 0.9673
-5.3265 2.1640 0.9322
-2.4711 -4.5978 -1.0469
-4.0391 2.1703 4.7331
-6.0879 5.1982 3.4458
-4.5199 -1.5698 -2.3342
-3.2324 -1.5636 1.4666
```

***

The following is a GGA-PBE calculation of an optimized crystal structure of KYAgBr5, from the Alexandria database.

Uncorrected energy in eV per cell: -60.877
Magnetization in μB/f.u.: 0.0
Formation energy (no corrections) in eV per atom: -1.458
ρ in g/cm³: 3.58
SG: C2/c

```
KYAgBr5
1.0
0.0094 -1.2825 -7.8429
-2.1468 -6.6555 3.7751
-8.5637 6.1884 1.2726
K Y Ag Br
2 2 2 10
Cartesian
-3.5275 -3.2140 -0.0029
-7.1736 1.4645 -2.7922
-4.2818 3.0942 0.6363
0.0000 0.0000 0.0000
-2.8030 -1.4087 -3.9065
-7.8981 -0.3409 1.1113
-4.1164 -4.6813 3.1698
-6.5847 2.9318 -5.9650
-1.5192 -2.6405 -5.9222
-9.1819 0.8910 3.1270
-3.5861 1.0711 -4.5893
-7.1150 -2.8207 1.7941
-5.1515 -2.3962 -2.9172
-5.5496 0.6466 0.1220
-1.0141 -1.8156 -1.8808
-9.6870 0.0660 -0.9144
```

***

The following is a GGA-PBE calculation of an optimized crystal structure of KYAg2Br, from the Alexandria database.

Uncorrected energy in eV per cell: -12.838
Magnetization in μB/f.u.: 0.0
Formation energy (no corrections) in eV per atom: 0.420
ρ in g/cm³: 4.21
SG: P4/mmm

```
KYAg2Br
1.0
5.5007 0.0000 0.0000
0.0000 5.5233 0.0000
0.0000 0.0000 5.5007
Y K Br Ag
1 1 1 2
Cartesian
2.7503 2.7616 2.7503
0.0000 0.0000 0.0000
0.0000 2.7616 0.0000
0.0000 0.0000 2.7503
2.7503 0.0000 0.0000
```

***

The following is a GGA-PBE calculation of an optimized crystal structure of KYAgBr6, from the Alexandria database.

Uncorrected energy in eV per cell: -31.966
Magnetization in μB/f.u.: 0.9
Formation energy (no corrections) in eV per atom: -1.280
ρ in g/cm³: 3.55
SG: P1

```
KYAgBr6
1.0
7.6072 -0.0074 0.2992
3.8055 5.9903 0.1542
0.3015 -0.0009 7.3414
K Y Ag Br
1 1 1 6
Cartesian
3.8048 5.8682 0.1604
7.7602 3.8326 3.9735
3.9540 1.9942 3.8228
9.0232 2.2287 2.1645
3.1345 0.0598 5.4473
6.4974 2.2174 5.7712
10.1988 3.8261 5.4817
5.3217 3.8304 2.4644
4.7679 0.0634 2.1921
```

***

The following is a GGA-PBE calculation of an optimized crystal structure of K3ZnAg3Br8, from the Alexandria database.

Uncorrected energy in eV per cell: -40.811
Magnetization in μB/f.u.: 0.0
Formation energy (no corrections) in eV per atom: -0.954
ρ in g/cm³: 4.05
SG: C2/m

```
K3ZnAg3Br8
1.0
8.4053 0.0000 0.0000
-4.2026 7.5031 0.0144
0.0000 -4.9387 7.4463
K Zn Ag Br
3 1 3 8
Cartesian
0.0000 0.0000 0.0000
-2.1013 3.7515 0.0072
2.1013 3.7515 0.0072
0.0000 -2.4693 3.7231
4.2026 -2.4693 3.7231
2.1013 1.2822 3.7303
-2.1013 1.2822 3.7303
0.0000 2.4643 2.1749
4.2026 0.1001 5.2857
4.2026 2.7066 2.2826
0.0000 -0.1422 5.1780
6.4648 -1.3837 2.2332
-2.2621 3.9481 5.2275
1.9405 -1.3837 2.2332
2.2621 3.9481 5.2275
```

***

The following is a GGA-PBE calculation of an optimized crystal structure of KZnAg2Br4, from the Alexandria database.

Uncorrected energy in eV per cell: -19.723
Magnetization in μB/f.u.: 0.0
Formation energy (no corrections) in eV per atom: -0.620
ρ in g/cm³: 4.31
SG: I-42m

```
KZnAg2Br4
1.0
-5.3603 4.6124 -3.1523
-3.7721 -6.2051 -2.6853
2.3740 0.6247 6.3964
K Zn Ag Br
1 1 2 4
Cartesian
-0.0006 0.0000 0.0010
-4.5669 -0.7965 -2.9181
-3.7750 2.2209 0.1605
-2.9808 -3.1887 0.3940
-3.1519 -0.4108 1.2042
-5.0163 -2.8775 -1.6460
-5.6102 1.1678 -1.8206
0.2590 0.1841 3.3849
```

***

The following is a GGA-PBE calculation of an optimized crystal structure of K2ZnAgBr5, from the Alexandria database.

Uncorrected energy in eV per cell: -49.856
Magnetization in μB/f.u.: 0.0
Formation energy (no corrections) in eV per atom: -1.138
ρ in g/cm³: 3.73
SG: Cmc2_1

```
K2ZnAgBr5
1.0
4.1931 0.0000 0.0000
-2.0965 10.2332 0.0000
0.0000 0.0000 13.4965
K Zn Ag Br
4 2 2 10
Cartesian
2.0965 7.7304 11.0231
0.0000 2.7275 9.2475
0.0000 2.5029 4.2748
2.0965 7.5057 2.4993
2.0965 1.3504 12.5378
0.0000 8.8828 5.7896
2.0965 5.6112 7.2848
0.0000 4.6220 0.5366
0.0000 7.2809 0.0113
2.0965 3.7021 11.9559
2.0965 0.1549 10.4295
0.0000 6.0884 9.0504
2.0965 9.4420 7.0628
2.0965 2.9524 6.7596
0.0000 6.5311 5.2076
0.0000 10.0783 3.6812
2.0965 4.1449 2.3022
0.0000 0.7913 0.3145
```